(1)
{"formula": "Os3Br", "functional": "PBE", "state": "relaxed", "lattice": [[-0.811, -4.367, -1.357], [2.437, -0.246, -3.946], [1.529, 1.404, 4.154]], "species": ["Os", "Os", "Os", "Br"], "frac_coords": [[0.250, 0.750, 0.500], [0.500, 0.500, 0.000], [0.750, 0.250, 0.500], [0.000, 0.000, 0.000]], "dft_energy_ev_per_atom": -7.37, "density_g_cm3": 17.500, "space_group": "No. 139", "raw_formation_energy_mev_per_atom": 1474}

---

(2)
{"formula": "OsBr3", "functional": "PBE", "state": "relaxed", "lattice": [[5.160, 0.460, 0.000], [-0.823, 5.115, 0.000], [0.000, 0.000, 3.133]], "species": ["Os", "Br", "Br", "Br"], "frac_coords": [[0.000, 0.000, 0.000], [0.000, 0.500, 0.500], [0.500, 0.000, 0.500], [0.500, 0.500, 0.000]], "dft_energy_ev_per_atom": -2.56, "density_g_cm3": 8.512, "space_group": "No. 65", "raw_formation_energy_mev_per_atom": 1504}

---

(3)
{"formula": "OsBr3", "functional": "PBE", "state": "relaxed", "lattice": [[4.923, -8.528, 0.000], [4.923, 8.528, 0.000], [0.000, 0.000, 3.507]], "species": ["Os", "Os", "Br", "Br", "Br", "Br", "Br", "Br"], "frac_coords": [[0.333, 0.667, 0.250], [0.667, 0.333, 0.750], [0.775, 0.550, 0.250], [0.450, 0.225, 0.250], [0.775, 0.225, 0.250], [0.225, 0.450, 0.750], [0.550, 0.775, 0.750], [0.225, 0.775, 0.750]], "dft_energy_ev_per_atom": -3.74, "density_g_cm3": 4.849, "space_group": "No. 194", "raw_formation_energy_mev_per_atom": 323}